## BaNaNi2 (PBE-GGA)

Data for a geometry-optimized BaNaNi2 structure.

Cell and atoms, written as CIF:
```
data_BaNaNi2
_cell_length_a 7.200
_cell_length_b 7.200
_cell_length_c 7.200
_cell_angle_alpha 90.00
_cell_angle_beta 90.00
_cell_angle_gamma 90.00
_space_group_name_H-M_alt 'F m -3 m'
_space_group_IT_number 225
_space_group_name_Hall '-F 4 2 3'
loop_
_atom_site_label
_atom_site_fract_x
_atom_site_fract_y
_atom_site_fract_z
_atom_site_occupancy
Ba1 0.000 0.000 0.000 1
Na1 0.000 0.000 0.500 1
Ni1 0.250 0.250 0.250 1
```

Computed properties:
energy relative to the elements: 0.56 eV/atom
crystal system: cubic
E above lowest polymorph: 0.30 eV/f.u.
M_tot: 0.00 μB/atom

***

## Pm2Dy4Y3 (PBE-GGA)

Data for a geometry-optimized Pm2Dy4Y3 structure.

Cell and atoms, written as CIF:
```
data_Pm2Dy4Y3
_cell_length_a 16.767
_cell_length_b 11.657
_cell_length_c 6.001
_cell_angle_alpha 90.00
_cell_angle_beta 97.06
_cell_angle_gamma 90.00
_space_group_name_H-M_alt 'C 1 2/c 1'
_space_group_IT_number 15
loop_
_space_group_symop_operation_xyz
'x,y,z'
'-x,-y,-z'
'-x,y,-z+1/2'
'x,-y,z+1/2'
'x+1/2,y+1/2,z'
'-x+1/2,-y+1/2,-z'
'-x+1/2,y+1/2,-z+1/2'
'x+1/2,-y+1/2,z+1/2'
loop_
_atom_site_label
_atom_site_fract_x
_atom_site_fract_y
_atom_site_fract_z
_atom_site_occupancy
Pm1 0.105 0.112 0.281 1
Dy1 0.062 0.393 0.045 1
Dy2 0.232 0.108 0.875 1
Y1 0.000 0.151 0.750 1
Y2 0.165 0.349 0.586 1
```

Computed properties:
energy relative to the elements: 0.09 eV/atom
crystal system: monoclinic
M_tot: 0.00 μB/atom

***

## SrZr3Br (PBE-GGA)

Data for a geometry-optimized SrZr3Br structure.

Cell and atoms, written as CIF:
```
data_SrZr3Br
_cell_length_a 5.180
_cell_length_b 5.180
_cell_length_c 5.180
_cell_angle_alpha 90.00
_cell_angle_beta 90.00
_cell_angle_gamma 90.00
_space_group_name_H-M_alt 'P m -3 m'
_space_group_IT_number 221
_space_group_name_Hall '-P 4 2 3'
loop_
_atom_site_label
_atom_site_fract_x
_atom_site_fract_y
_atom_site_fract_z
_atom_site_occupancy
Sr1 0.000 0.000 0.000 1
Zr1 0.000 0.500 0.500 1
Br1 0.500 0.500 0.500 1
```

Computed properties:
formation energy without anion corrections: 1.7 eV/f.u.
crystal system: cubic
E above lowest polymorph: 0.00 eV/f.u.
M_tot: 0.00 μB/atom

***

## RbCrCo2Se (PBE-GGA)

Data for a geometry-optimized RbCrCo2Se structure.

Cell and atoms, written as CIF:
```
data_RbCrCo2Se
_cell_length_a 4.544
_cell_length_b 4.544
_cell_length_c 6.265
_cell_angle_alpha 90.00
_cell_angle_beta 90.00
_cell_angle_gamma 90.00
_space_group_name_H-M_alt 'P 4/m m m'
_space_group_IT_number 123
_space_group_name_Hall '-P 4 2'
loop_
_atom_site_label
_atom_site_fract_x
_atom_site_fract_y
_atom_site_fract_z
_atom_site_occupancy
Rb1 0.000 0.000 0.000 1
Cr1 0.500 0.500 0.000 1
Co1 0.000 0.500 0.500 1
Se1 0.000 0.000 0.500 1
```

Computed properties:
formation energy without anion corrections: 5.1 eV/f.u.
crystal system: tetragonal
M_tot: 1.79 μB/atom